Entry 1:
## As2OsRu (PBE-GGA)

Data for a relaxed structure of As2OsRu.

Lattice parameters (Å, degrees): 4.4563 4.4563 4.9789 77.26 77.26 42.08
Sites, in units of the cell vectors:
1 As 0.7511 0.7511 0.7106
2 As 0.9861 0.9861 0.1472
3 Os 0.4875 0.4875 0.5318
4 Ru 0.2753 0.2753 0.1104

Its formation energy is 0.12 eV/atom. Its space group is Cm. The energy above the lowest structure with this stoichiometry is 67 meV/atom. Its crystal system is monoclinic.

Entry 2:
## AsOs2Ru (PBE-GGA)

Data for a relaxed structure of AsOs2Ru.

Lattice parameters (Å, degrees): 3.9266 2.8206 5.4295 74.90 90.00 90.00
Sites, in units of the cell vectors:
1 Ru 0.0000 0.5466 0.5315
2 Os 0.0000 0.8052 0.0150
3 Os 0.5000 0.1911 0.2433
4 As 0.5000 0.9572 0.7102

Its formation energy is 0.20 eV/atom. Its space group is Amm2. Its crystal system is orthorhombic.

Entry 3:
## AsOs2Ru (PBE-GGA)

Data for a relaxed structure of AsOs2Ru.

Lattice parameters (Å, degrees): 2.8569 2.8569 7.0699 90.00 90.00 90.00
Sites, in units of the cell vectors:
1 Os 0.0000 0.0000 0.9980
2 Os 0.5000 0.5000 0.2422
3 Ru 0.0000 0.0000 0.5203
4 As 0.5000 0.5000 0.7394

Its formation energy is 0.25 eV/atom. Its space group is P4mm. Its crystal system is tetragonal.

Entry 4:
## As2OsRu (PBE-GGA)

Data for a relaxed structure of As2OsRu.

Lattice parameters (Å, degrees): 4.0731 3.0130 5.1488 90.87 90.00 90.00
Sites, in units of the cell vectors:
1 Os 0.5000 0.2500 0.2500
2 As 0.0000 0.1054 0.9830
3 As 0.0000 0.3946 0.5170
4 Ru 0.5000 0.7500 0.7500

Its formation energy is 0.51 eV/atom. Its space group is P2/m. The energy above the lowest structure with this stoichiometry is 456 meV/atom. Its crystal system is monoclinic.

Entry 5:
## AsOs2Ru (PBE-GGA)

Data for a relaxed structure of AsOs2Ru.

Lattice parameters (Å, degrees): 4.7538 4.7538 4.5785 86.32 86.32 34.80
Sites, in units of the cell vectors:
1 Ru 0.4822 0.4822 0.4890
2 Os 0.0214 0.0214 0.9690
3 Os 0.7535 0.7535 0.7661
4 As 0.2429 0.2429 0.2759

Its formation energy is 0.32 eV/atom. Its space group is Cm. Its crystal system is monoclinic.

Entry 6:
## AsOs2Ru (PBE-GGA)

Data for a relaxed structure of AsOs2Ru.

Lattice parameters (Å, degrees): 8.5390 8.5390 8.5390 19.06 19.06 19.06
Sites, in units of the cell vectors:
1 Ru 0.2500 0.2500 0.2500
2 As 0.7500 0.7500 0.7500
3 Os 0.0022 0.0022 0.0022
4 Os 0.4978 0.4978 0.4978

Its formation energy is 0.36 eV/atom. Its space group is R-3m. Its crystal system is trigonal.

Entry 7:
## As2OsRu (PBE-GGA)

Data for a relaxed structure of As2OsRu.

Lattice parameters (Å, degrees): 4.7774 4.7774 4.7774 130.89 130.89 71.98
Sites, in units of the cell vectors:
1 As 0.0000 0.0000 0.0000
2 Os 0.5000 0.5000 0.0000
3 Ru 0.7500 0.2500 0.5000
4 As 0.2500 0.7500 0.5000

Its formation energy is 0.50 eV/atom. Its space group is I-4m2. The energy above the lowest structure with this stoichiometry is 442 meV/atom. Its crystal system is tetragonal.

Entry 8:
## As2OsRu (PBE-GGA)

Data for a relaxed structure of As2OsRu.

Lattice parameters (Å, degrees): 4.3657 4.3657 4.3657 60.00 60.00 60.00
Sites, in units of the cell vectors:
1 As 0.7500 0.7500 0.7500
2 Os 0.5000 0.5000 0.5000
3 Ru 0.0000 0.0000 0.0000
4 As 0.2500 0.2500 0.2500

Its formation energy is 0.21 eV/atom. Its space group is Fm-3m. The energy above the lowest structure with this stoichiometry is 155 meV/atom. Its crystal system is cubic.

Entry 9:
## As2OsRu (PBE-GGA)

Data for a relaxed structure of As2OsRu.

Lattice parameters (Å, degrees): 10.1333 10.1333 10.1333 16.75 16.75 16.75
Sites, in units of the cell vectors:
1 Os 0.4954 0.4954 0.4954
2 As 0.2229 0.2229 0.2229
3 Ru 0.7541 0.7541 0.7541
4 As 0.0275 0.0275 0.0275

Its formation energy is 0.16 eV/atom. Its space group is R3m. The energy above the lowest structure with this stoichiometry is 103 meV/atom. Its crystal system is trigonal.

Entry 10:
## AsOsRu3 (PBE-GGA)

Data for a relaxed structure of AsOsRu3.

Lattice parameters (Å, degrees): 4.4426 4.4426 4.4426 90.00 90.00 90.00
Sites, in units of the cell vectors:
1 Ru 0.0000 0.5000 0.0000
2 Ru 0.5000 0.0000 0.0000
3 Os 0.5000 0.5000 0.5000
4 As 0.0000 0.0000 0.0000
5 Ru 0.0000 0.0000 0.5000

Its formation energy is 1.50 eV/atom. Its space group is Pm-3m. The energy above the lowest structure with this stoichiometry is 0 meV/atom. Its crystal system is cubic.

Entry 11:
## AsOs2Ru (PBE-GGA)

Data for a relaxed structure of AsOs2Ru.

Lattice parameters (Å, degrees): 2.8301 4.5445 4.5891 90.00 90.00 90.00
Sites, in units of the cell vectors:
1 As 0.0000 0.5000 0.5000
2 Ru 0.5000 0.0000 0.5000
3 Os 0.5000 0.5000 0.0000
4 Os 0.0000 0.0000 0.0000

Its formation energy is 0.51 eV/atom. Its space group is Pmmm. Its crystal system is orthorhombic.

Entry 12:
## As2OsRu (PBE-GGA)

Data for a relaxed structure of As2OsRu.

Lattice parameters (Å, degrees): 2.9876 5.1986 4.0526 90.00 90.00 90.00
Sites, in units of the cell vectors:
1 Os 0.5000 0.0000 0.5000
2 Ru 0.0000 0.5000 0.5000
3 As 0.5000 0.5000 0.0000
4 As 0.0000 0.0000 0.0000

Its formation energy is 0.53 eV/atom. Its space group is Pmmm. The energy above the lowest structure with this stoichiometry is 478 meV/atom. Its crystal system is orthorhombic.

Look up the formation energy of the seventh one.
0.50 eV/atom

Which formula does entry 11 have?
AsOs2Ru